1.
Crystalline MnCdB3 at its relaxed geometry, computed with PBE-GGA.

Its energy relative to the elements is 0.8799 eV per atom.

The space group is Pm-3m (No. 221) and the conventional cell measures 3.8821, 3.8821 and 3.8821 Å, with angles of 90.00, 90.00 and 90.00 degrees. The distinct sites, in fractional coordinates, are Mn at (0.0000, 0.0000, 0.0000), Cd at (0.5000, 0.5000, 0.5000) and B at (0.0000, 0.0000, 0.5000).

---

2.
Crystalline MnCdB at its relaxed geometry, computed with PBE-GGA.

Its energy relative to the elements is 0.1854 eV per atom.

The space group is Cmcm (No. 63) and the conventional cell measures 3.7423, 13.5996 and 3.5770 Å, with angles of 90.00, 90.00 and 90.00 degrees. The distinct sites, in fractional coordinates, are Mn at (0.0000, 0.2470, 0.2500), Cd at (0.0000, 0.0845, 0.7500) and B at (0.0000, 0.3126, 0.7500).

---

3.
Crystalline MnCdB at its relaxed geometry, computed with PBE-GGA.

Its energy relative to the elements is 0.1941 eV per atom.

The space group is Amm2 (No. 38) and the conventional cell measures 2.8133, 2.8962 and 9.4733 Å, with angles of 90.00, 90.00 and 90.00 degrees. The distinct sites, in fractional coordinates, are Mn at (0.0000, 0.0000, 0.0000), Cd at (0.5000, 0.0000, 0.2668) and B at (0.5000, 0.0000, 0.5276).

---

| no. | energy relative to the lowest polymorph listed for this composition (meV/atom) |
| --- | --- |
| 1 | 0 |
| 2 | 319 |
| 3 | 328 |